(1)
# Pm3Cd2Sb | Alexandria | GGA-PBE | optimized geometry
data_Pm3Cd2Sb
_space_group_name_H-M_alt 'P 1'
_space_group_IT_number 1
_cell_length_a 4.0316
_cell_length_b 5.2473
_cell_length_c 16.0064
_cell_angle_alpha 90.00
_cell_angle_beta 90.00
_cell_angle_gamma 90.00
loop_
_space_group_symop_operation_xyz
'x,y,z'
loop_
_atom_site_label
_atom_site_type_symbol
_atom_site_fract_x
_atom_site_fract_y
_atom_site_fract_z
Pm1 Pm 0.4999 0.5000 0.6604
Pm2 Pm 0.4998 0.0000 0.5000
Pm3 Pm 0.4999 0.5000 0.3396
Pm4 Pm 0.5001 0.0000 0.1604
Pm5 Pm 0.5002 0.5000 0.0000
Pm6 Pm 0.5001 0.0000 0.8396
Cd1 Cd 0.0000 0.0000 0.6817
Cd2 Cd 0.0000 0.0000 0.3183
Cd3 Cd 0.0000 0.5000 0.1817
Cd4 Cd 0.0000 0.5000 0.8183
Sb1 Sb 0.9998 0.5000 0.5000
Sb2 Sb 0.0002 0.0000 0.0000
# Crystal system = orthorhombic
# N(E_F) = 4.95 states/eV/f.u.
# Space-group type = Cmmm (65)
# Formation energy without anion corrections = -0.556 eV per atom


(2)
# PmSmCdSb | Alexandria | GGA-PBE | optimized geometry
data_PmSmCdSb
_space_group_name_H-M_alt 'P 1'
_space_group_IT_number 1
_cell_length_a 5.4072
_cell_length_b 5.4072
_cell_length_c 5.4072
_cell_angle_alpha 60.00
_cell_angle_beta 60.00
_cell_angle_gamma 60.00
loop_
_space_group_symop_operation_xyz
'x,y,z'
loop_
_atom_site_label
_atom_site_type_symbol
_atom_site_fract_x
_atom_site_fract_y
_atom_site_fract_z
Sb1 Sb 0.2500 0.2500 0.2500
Cd1 Cd 0.7500 0.7500 0.7500
Sm1 Sm 0.0000 0.0000 0.0000
Pm1 Pm 0.5000 0.5000 0.5000
# Crystal system = cubic
# N(E_F) = 3.29 states/eV/f.u.
# Space-group type = F-43m (216)
# Formation energy without anion corrections = -0.574 eV per atom


(3)
# TbPmCdSb | Alexandria | GGA-PBE | optimized geometry
data_TbPmCdSb
_space_group_name_H-M_alt 'P 1'
_space_group_IT_number 1
_cell_length_a 5.3716
_cell_length_b 5.3716
_cell_length_c 5.3716
_cell_angle_alpha 60.00
_cell_angle_beta 60.00
_cell_angle_gamma 60.00
loop_
_space_group_symop_operation_xyz
'x,y,z'
loop_
_atom_site_label
_atom_site_type_symbol
_atom_site_fract_x
_atom_site_fract_y
_atom_site_fract_z
Sb1 Sb 0.0000 0.0000 0.0000
Cd1 Cd 0.5000 0.5000 0.5000
Tb1 Tb 0.2500 0.2500 0.2500
Pm1 Pm 0.7500 0.7500 0.7500
# Crystal system = cubic
# N(E_F) = 3.68 states/eV/f.u.
# Space-group type = F-43m (216)
# Formation energy without anion corrections = -0.552 eV per atom


(4)
# PmScCd17 | Alexandria | GGA-PBE | optimized geometry
data_PmScCd17
_space_group_name_H-M_alt 'P 1'
_space_group_IT_number 1
_cell_length_a 7.6546
_cell_length_b 7.6546
_cell_length_c 7.6546
_cell_angle_alpha 81.67
_cell_angle_beta 81.67
_cell_angle_gamma 81.67
loop_
_space_group_symop_operation_xyz
'x,y,z'
loop_
_atom_site_label
_atom_site_type_symbol
_atom_site_fract_x
_atom_site_fract_y
_atom_site_fract_z
Pm1 Pm 0.6702 0.6702 0.6702
Sc1 Sc 0.3164 0.3164 0.3164
Cd1 Cd 0.3022 0.0033 0.6940
Cd2 Cd 0.6940 0.3022 0.0033
Cd3 Cd 0.0033 0.6940 0.3022
Cd4 Cd 0.3022 0.6940 0.0033
Cd5 Cd 0.0033 0.3022 0.6940
Cd6 Cd 0.6940 0.0033 0.3022
Cd7 Cd 0.3438 0.8882 0.3438
Cd8 Cd 0.3438 0.3438 0.8882
Cd9 Cd 0.8882 0.3438 0.3438
Cd10 Cd 0.6084 0.2299 0.6084
Cd11 Cd 0.6084 0.6084 0.2299
Cd12 Cd 0.2299 0.6084 0.6084
Cd13 Cd 0.9724 0.5312 0.9724
Cd14 Cd 0.9724 0.9724 0.5312
Cd15 Cd 0.5312 0.9724 0.9724
Cd16 Cd 0.9116 0.9116 0.9116
Cd17 Cd 0.1042 0.1042 0.1042
# Formation energy from the elements = -1.7 eV/f.u.
# Crystal system = trigonal
# N(E_F) = 6.37 states/eV/f.u.
# Space-group type = R3m (160)


(5)
# Pm12Sc5Cd2 | Alexandria | GGA-PBE | optimized geometry
data_Pm12Sc5Cd2
_space_group_name_H-M_alt 'P 1'
_space_group_IT_number 1
_cell_length_a 10.8251
_cell_length_b 8.5076
_cell_length_c 8.4903
_cell_angle_alpha 79.84
_cell_angle_beta 90.00
_cell_angle_gamma 129.51
loop_
_space_group_symop_operation_xyz
'x,y,z'
loop_
_atom_site_label
_atom_site_type_symbol
_atom_site_fract_x
_atom_site_fract_y
_atom_site_fract_z
Pm1 Pm 0.8634 0.7268 0.1271
Pm2 Pm 0.0257 0.6431 0.8115
Pm3 Pm 0.6174 0.6431 0.8115
Pm4 Pm 0.1526 0.7839 0.3864
Pm5 Pm 0.6313 0.7839 0.3864
Pm6 Pm 0.4170 0.8340 0.6963
Pm7 Pm 0.5830 0.1660 0.3037
Pm8 Pm 0.8474 0.2161 0.6136
Pm9 Pm 0.3687 0.2161 0.6136
Pm10 Pm 0.9743 0.3569 0.1885
Pm11 Pm 0.3826 0.3569 0.1885
Pm12 Pm 0.1366 0.2732 0.8729
Sc1 Sc 0.2393 0.4786 0.4644
Sc2 Sc 0.3752 0.7504 0.0910
Sc3 Sc 0.0000 0.0000 0.5000
Sc4 Sc 0.6248 0.2496 0.9090
Sc5 Sc 0.7607 0.5214 0.5356
Cd1 Cd 0.7338 0.0000 0.0000
Cd2 Cd 0.2662 0.0000 0.0000
# Formation energy from the elements = 0.7 eV/f.u.
# Crystal system = monoclinic
# N(E_F) = 32.51 states/eV/f.u.
# Space-group type = C2/m (12)


(6)
# PmScCd6 | Alexandria | GGA-PBE | optimized geometry
data_PmScCd6
_space_group_name_H-M_alt 'P 1'
_space_group_IT_number 1
_cell_length_a 4.8566
_cell_length_b 6.4718
_cell_length_c 6.4718
_cell_angle_alpha 112.82
_cell_angle_beta 90.00
_cell_angle_gamma 90.00
loop_
_space_group_symop_operation_xyz
'x,y,z'
loop_
_atom_site_label
_atom_site_type_symbol
_atom_site_fract_x
_atom_site_fract_y
_atom_site_fract_z
Pm1 Pm 0.5000 0.3830 0.6170
Sc1 Sc 0.0000 0.1149 0.8851
Cd1 Cd 0.0000 0.0574 0.3705
Cd2 Cd 0.0000 0.6295 0.9426
Cd3 Cd 0.0000 0.5786 0.4214
Cd4 Cd 0.5000 0.4321 0.1266
Cd5 Cd 0.5000 0.8734 0.5679
Cd6 Cd 0.5000 0.9308 0.0692
# Formation energy from the elements = -2.0 eV/f.u.
# Crystal system = orthorhombic
# N(E_F) = 3.86 states/eV/f.u.
# Space-group type = Amm2 (38)


> Among the records above, which one has the highest N(E_F)?

Pm12Sc5Cd2


Copy entry 3 word for word.
# TbPmCdSb | Alexandria | GGA-PBE | optimized geometry
data_TbPmCdSb
_space_group_name_H-M_alt 'P 1'
_space_group_IT_number 1
_cell_length_a 5.3716
_cell_length_b 5.3716
_cell_length_c 5.3716
_cell_angle_alpha 60.00
_cell_angle_beta 60.00
_cell_angle_gamma 60.00
loop_
_space_group_symop_operation_xyz
'x,y,z'
loop_
_atom_site_label
_atom_site_type_symbol
_atom_site_fract_x
_atom_site_fract_y
_atom_site_fract_z
Sb1 Sb 0.0000 0.0000 0.0000
Cd1 Cd 0.5000 0.5000 0.5000
Tb1 Tb 0.2500 0.2500 0.2500
Pm1 Pm 0.7500 0.7500 0.7500
# Crystal system = cubic
# N(E_F) = 3.68 states/eV/f.u.
# Space-group type = F-43m (216)
# Formation energy without anion corrections = -0.552 eV per atom


> N(E_F) of number 5 (Pm12Sc5Cd2)?

32.51 states/eV/f.u.


> Which of these has the highest N(E_F)?

Pm12Sc5Cd2